{
  "formula": "InRuSeI2",
  "functional": "GGA-PBEsol",
  "state": "optimized geometry",
  "cell": [[5.577, 0.000, 0.000], [0.000, 5.577, 0.000], [0.000, 0.000, 4.578]],
  "species": ["In", "Ru", "Se", "I", "I"],
  "fractional_positions": [[0.000, 0.000, 0.000], [0.500, 0.500, 0.500], [0.500, 0.500, 0.000], [0.000, 0.500, 0.500], [0.500, 0.000, 0.500]],
  "formation_energy_uncorrected_mev_per_atom": 51,
  "spacegroup": "P4/mmm, No. 123"
}

=====

{
  "formula": "Os2RhSe",
  "functional": "GGA-PBEsol",
  "state": "optimized geometry",
  "cell": [[1.366, -2.371, 0.000], [1.366, 2.371, 0.000], [0.000, 0.000, 9.199]],
  "species": ["Os", "Os", "Rh", "Se"],
  "fractional_positions": [[0.000, 0.000, 0.000], [0.500, 0.500, 0.239], [0.000, 0.000, 0.488], [0.500, 0.500, 0.732]],
  "formation_energy_uncorrected_mev_per_atom": 665,
  "spacegroup": "Cmm2, No. 35"
}

=====

{
  "formula": "Eu3B6Rh8",
  "functional": "GGA-PBEsol",
  "state": "optimized geometry",
  "cell": [[0.000, 4.883, 8.489], [2.742, 0.000, 8.489], [2.742, 4.883, 0.000]],
  "species": ["Eu", "Eu", "Eu", "B", "B", "B", "B", "B", "B", "Rh", "Rh", "Rh", "Rh", "Rh", "Rh", "Rh", "Rh"],
  "fractional_positions": [[0.000, 0.000, 0.000], [0.181, 0.181, 0.819], [0.819, 0.819, 0.181], [0.169, 0.488, 0.512], [0.333, 0.667, 0.333], [0.488, 0.169, 0.831], [0.512, 0.831, 0.169], [0.667, 0.333, 0.667], [0.831, 0.512, 0.488], [0.085, 0.085, 0.415], [0.250, 0.250, 0.250], [0.414, 0.414, 0.586], [0.415, 0.415, 0.085], [0.585, 0.585, 0.915], [0.586, 0.586, 0.414], [0.750, 0.750, 0.750], [0.915, 0.915, 0.585]],
  "spacegroup": "Fmmm, No. 69",
  "e_tot_ev_per_atom": -8.84
}

=====

Total magnetization for the records above, in order: 0.00; 0.67; 20.19 μB per formula unit